Entry 1:
A plane-wave DFT calculation with PBE-GGA was carried out for an optimized crystal structure of ZnAgSn2Pd.

- energy of formation (eV/atom) = -0.1108
- total moment (μB per cell) = 0.00

abc: 3.6932 3.6932 15.8696
angles: 90.00 90.00 90.00
Closest atoms and distances in Å follow each position.
Sites, in units of the cell vectors:
Ag 0.0000 0.5000 0.3713  4 Zn 2.75, 4 Sn 2.97
Zn 0.5000 0.5000 0.5000  4 Zn 2.61, 4 Ag 2.75
Sn 0.5000 0.0000 0.9296  5 Pd 2.70-2.91
Sn 0.5000 0.0000 0.2821  1 Pd 2.68, 4 Ag 2.97
Pd 0.0000 0.5000 0.8868  6 Sn 2.68-2.91
Zn 0.0000 0.0000 0.5000  4 Zn 2.61, 4 Ag 2.75
Ag 0.5000 0.0000 0.6287  4 Zn 2.75, 4 Sn 2.97
Pd 0.5000 0.0000 0.1132  6 Sn 2.68-2.91
Sn 0.0000 0.5000 0.0704  5 Pd 2.70-2.91
Sn 0.0000 0.5000 0.7179  1 Pd 2.68, 4 Ag 2.97

---

Entry 2:
A plane-wave DFT calculation with PBE-GGA was carried out for an optimized crystal structure of NdDySn6.

- energy of formation (eV/atom) = -0.4589
- total moment (μB per cell) = 0.00

abc: 4.7431 4.7431 9.5070
angles: 90.00 90.00 90.00
Closest atoms and distances in Å follow each position.
Sites, in units of the cell vectors:
Sn 0.5000 0.5000 0.0000  4 Nd 3.35, 8 Sn 3.39
Nd 0.0000 0.0000 0.0000  12 Sn 3.35-3.39
Dy 0.0000 0.0000 0.5000  12 Sn 3.32-3.35
Sn 0.5000 0.0000 0.2549  8 Sn 3.32-3.39, 2 Dy 3.32, 2 Nd 3.39
Sn 0.0000 0.5000 0.2549  8 Sn 3.32-3.39, 2 Dy 3.32, 2 Nd 3.39
Sn 0.5000 0.5000 0.5000  8 Sn 3.32, 4 Dy 3.35
Sn 0.5000 0.0000 0.7451  8 Sn 3.32-3.39, 2 Dy 3.32, 2 Nd 3.39
Sn 0.0000 0.5000 0.7451  8 Sn 3.32-3.39, 2 Dy 3.32, 2 Nd 3.39

---

Entry 3:
A plane-wave DFT calculation with PBE-GGA was carried out for an optimized crystal structure of AcMgTlPd.

- energy of formation (eV/atom) = -0.3854
- total moment (μB per cell) = 0.00

abc: 5.2923 5.2923 5.2923
angles: 60.00 60.00 60.00
Closest atoms and distances in Å follow each position.
Sites, in units of the cell vectors:
Mg 0.0000 0.0000 0.0000  4 Pd 3.24, 4 Tl 3.24
Tl 0.7500 0.7500 0.7500  4 Ac 3.24, 4 Mg 3.24
Ac 0.5000 0.5000 0.5000  4 Tl 3.24, 4 Pd 3.24
Pd 0.2500 0.2500 0.2500  4 Ac 3.24, 4 Mg 3.24